DFT (PBE) results for a relaxed structure of LiNi6Sb.

Unit cell a=5.1227 b=5.1227 c=3.6636 alpha=90.00 beta=90.00 gamma=90.06
Positions (direct):
1 Li 0.0000 0.0000 0.0000
2 Ni 0.0000 0.5000 0.0000
3 Ni 0.2429 0.2429 0.5000
4 Ni 0.2433 0.7567 0.5000
5 Ni 0.5000 0.0000 0.0000
6 Ni 0.7567 0.2433 0.5000
7 Ni 0.7571 0.7571 0.5000
8 Sb 0.5000 0.5000 0.0000

Its magnetization is 1.2 Bohr magnetons per cell. The calculation puts the raw formation energy at -0.064 eV/atom.



DFT (PBE) results for a relaxed structure of Li2NiSb.

Unit cell a=8.6466 b=8.6466 c=8.6466 alpha=20.65 beta=20.65 gamma=20.65
Positions (direct):
1 Li 0.2412 0.2412 0.2412
2 Li 0.7588 0.7588 0.7588
3 Ni 0.5000 0.5000 0.5000
4 Sb 0.0000 0.0000 0.0000

Its magnetization is 0.5 Bohr magnetons per cell. The calculation puts the raw formation energy at 0.133 eV/atom.



DFT (PBE) results for a relaxed structure of Li2NiSb.

Unit cell a=8.9067 b=8.9067 c=8.9067 alpha=20.86 beta=20.86 gamma=20.86
Positions (direct):
1 Li 0.0000 0.0000 0.0000
2 Li 0.2324 0.2324 0.2324
3 Ni 0.4898 0.4898 0.4898
4 Sb 0.7575 0.7575 0.7575

Its magnetization is 0.0 Bohr magnetons per cell. The calculation puts the raw formation energy at 0.048 eV/atom.



DFT (PBE) results for a relaxed structure of Li2NiSb2.

Unit cell a=7.0950 b=7.0950 c=7.0950 alpha=129.70 beta=70.35 gamma=134.23
Positions (direct):
1 Li 0.0953 0.1674 0.2627
2 Li 0.4047 0.6674 0.0721
3 Li 0.5953 0.3326 0.9279
4 Li 0.9047 0.8326 0.7373
5 Ni 0.2500 0.7500 0.5000
6 Ni 0.7500 0.2500 0.5000
7 Sb 0.1564 0.6828 0.8393
8 Sb 0.3436 0.1828 0.5264
9 Sb 0.6564 0.8172 0.4736
10 Sb 0.8436 0.3172 0.1607

Its magnetization is 0.0 Bohr magnetons per cell. The calculation puts the energy above the most stable polymorph in this dataset at 0.0034 eV/atom. The calculation puts the raw formation energy at -0.336 eV/atom.



Summary of uncorrected energy in eV per atom
-5.155, -3.300, -3.385, -3.907
(order as listed above)